Here is an optimized crystal structure of KCo6Se8 from Alexandria. Energies are from PBE-GGA.

The structure in POSCAR format:
```
KCo6Se8
1.0
6.565 0.149 -0.061
-0.063 6.566 -0.061
0.144 0.149 6.563
K Co Se
1 6 8
direct
0.000 0.000 0.000
0.596 0.434 0.813
0.434 0.813 0.596
0.813 0.596 0.434
0.404 0.566 0.187
0.566 0.187 0.404
0.187 0.404 0.566
0.742 0.742 0.742
0.258 0.258 0.258
0.609 0.854 0.276
0.854 0.276 0.609
0.276 0.609 0.854
0.391 0.146 0.724
0.146 0.724 0.391
0.724 0.391 0.146
```

Summary:
* SG: No. 148
* DOS(E_F): 10.4 states/eV per cell
* crystal system: trigonal
* ΔE_f (raw): -325.0 meV/atom

=====

Here is an optimized crystal structure of Mg3H4Ir from Alexandria. Energies are from PBE-GGA.

The structure in POSCAR format:
```
Mg3H4Ir
1.0
-1.401 2.846 2.167
-5.158 -0.919 1.247
2.779 -3.527 2.998
Mg H Ir
3 4 1
direct
0.131 0.954 0.287
0.518 0.567 0.674
0.323 0.306 0.025
0.015 0.693 0.787
0.642 0.066 0.413
0.324 0.583 0.303
0.355 0.002 0.723
0.820 0.024 0.744
```

Summary:
* E above lowest polymorph: 79 meV/atom
* SG: No. 8
* DOS(E_F): 0.6 states/eV per cell
* crystal system: monoclinic